## BaMoSeBr2 (PBE)

Data for crystalline BaMoSeBr2 at its relaxed geometry.

It has space group P4/mmm (No. 123), with a = 6.127 Å, b = 6.127 Å, c = 6.370 Å, α = 90.00°, β = 90.00° and γ = 90.00°. Symmetry generates all atoms from Ba at (0.000, 0.000, 0.000), Mo at (0.500, 0.500, 0.500), Se at (0.000, 0.000, 0.500) and Br at (0.000, 0.500, 0.000).

The value obtained for the density of states at the Fermi level is 1.11 states/eV per atom. For the energy relative to the lowest polymorph listed for this composition, the calculation gives 4.88 eV/f.u. The density is 3.3 g cm⁻³. As for the uncorrected formation energy: 0.19 eV/atom.